A relaxed LaTb5PrHo2 crystal. Source: Alexandria, functional PBE.

Output
E_tot = -0.1615 hartree per atom
symmetry = I4/mcm, No. 140
DOS at the Fermi energy = 11.8 states/eV/f.u.
calculated volume = 600 Å³/cell
crystal system = tetragonal
ΔH_f (0 K) = 2.5 eV per formula unit
magnetic moment = 0.000 μB/cell

Cell lengths 10.0376, 10.0376, 10.0376 Å; angles 128.67, 128.67, 75.54 degrees
Fractional coordinates of all 18 atoms:
La: 0.2500 0.2500 0.0000
La: 0.7500 0.7500 0.0000
Tb: 0.0000 0.0000 0.0000
Tb: 0.0667 0.5667 0.8973
Tb: 0.1695 0.0667 0.5000
Tb: 0.3305 0.8305 0.8973
Tb: 0.4333 0.3305 0.5000
Tb: 0.5000 0.5000 0.0000
Tb: 0.5667 0.6695 0.5000
Tb: 0.6695 0.1695 0.1027
Tb: 0.8305 0.9333 0.5000
Tb: 0.9333 0.4333 0.1027
Pr: 0.2500 0.7500 0.5000
Pr: 0.7500 0.2500 0.5000
Ho: 0.1195 0.3805 0.5000
Ho: 0.3805 0.8805 0.2611
Ho: 0.6195 0.1195 0.7389
Ho: 0.8805 0.6195 0.5000